Below is Cd2InW after structural relaxation, with properties calculated at the PBE-GGA level.

Calculated volume in Å³ per atom: 21.167
Formation energy from the elements in eV per formula unit: 2.04
Total DFT energy (no corrections) in eV/atom: -3.870
Crystal system: orthorhombic
Symmetry: Immm (71)

Cell and atoms, written as POSCAR:
```
Cd2InW
1.0
3.000 0.000 0.000
0.000 4.902 0.000
0.000 0.000 11.513
Cd In W
4 2 2
direct
0.000 0.000 0.214 Cd
0.000 0.000 0.786 Cd
0.500 0.500 0.286 Cd
0.500 0.500 0.714 Cd
0.000 0.500 0.000 In
0.500 0.000 0.500 In
0.000 0.500 0.500 W
0.500 0.000 0.000 W
```